(1)
# HfZr2Al3CoCu2, optimized geometry, DFT PBE
data_HfZr2Al3CoCu2
_cell_length_a 4.031
_cell_length_b 11.152
_cell_length_c 6.507
_cell_angle_alpha 90.00
_cell_angle_beta 90.00
_cell_angle_gamma 90.00
_space_group_name_H-M_alt 'A m m 2'
_space_group_IT_number 38
loop_
_space_group_symop_operation_xyz
'x,y,z'
'-x,-y,z'
'-x,y,z'
'x,-y,z'
'x,y+1/2,z+1/2'
'-x,-y+1/2,z+1/2'
'-x,y+1/2,z+1/2'
'x,-y+1/2,z+1/2'
loop_
_atom_site_label
_atom_site_fract_x
_atom_site_fract_y
_atom_site_fract_z
Hf1 0.000 0.000 0.000
Zr1 0.000 0.203 0.392
Al1 0.500 0.000 0.355
Al2 0.500 0.121 0.716
Co1 0.000 0.000 0.602
Cu1 0.500 0.164 0.094
# - crystal system = orthorhombic
# - V (Å³/cell) = 292.6
# - DFT total energy (eV per atom) = -6.350

---

(2)
# ZrInCoOs, optimized geometry, DFT PBE
data_ZrInCoOs
_cell_length_a 6.421
_cell_length_b 6.421
_cell_length_c 6.421
_cell_angle_alpha 90.00
_cell_angle_beta 90.00
_cell_angle_gamma 90.00
_space_group_name_H-M_alt 'F -4 3 m'
_space_group_IT_number 216
_space_group_name_Hall 'F -4 2 3'
loop_
_atom_site_label
_atom_site_fract_x
_atom_site_fract_y
_atom_site_fract_z
Zr1 0.000 0.000 0.000
In1 0.000 0.000 0.500
Co1 0.250 0.250 0.750
Os1 0.250 0.250 0.250
# - crystal system = cubic
# - V (Å³/cell) = 264.7
# - offset from the most stable computed form (meV/atom) = 0
# - DFT total energy (eV per atom) = -7.553